Record 1
# IrPbBr2 | Alexandria | GGA-PBE | relaxed
data_IrPbBr2
_cell_length_a 5.695
_cell_length_b 3.661
_cell_length_c 6.832
_cell_angle_alpha 90.00
_cell_angle_beta 114.49
_cell_angle_gamma 90.00
_symmetry_space_group_name_H-M 'P 1 2/m 1'
_symmetry_Int_Tables_number 10
_symmetry_space_group_name_Hall '-P 2y'
loop_
_atom_site_label
_atom_site_type_symbol
_atom_site_fract_x
_atom_site_fract_y
_atom_site_fract_z
Ir1 Ir 0.000 0.000 0.000
Pb1 Pb 0.500 0.000 0.000
Br1 Br 0.137 0.500 0.274
# Magnetic moment in μB/cell: 0.0
# Energy above the lowest structure with this stoichiometry in eV/atom: 0.0133
# Uncorrected formation energy in meV/atom: 55

=====

Record 2
# Ir2PbBr | Alexandria | GGA-PBE | relaxed
data_Ir2PbBr
_cell_length_a 3.2564
_cell_length_b 3.2564
_cell_length_c 24.9607
_cell_angle_alpha 90.00
_cell_angle_beta 90.00
_cell_angle_gamma 120.00
_symmetry_space_group_name_H-M 'R -3 m'
_symmetry_Int_Tables_number 166
_symmetry_space_group_name_Hall '-R 3 2"'
loop_
_atom_site_label
_atom_site_type_symbol
_atom_site_fract_x
_atom_site_fract_y
_atom_site_fract_z
Ir1 Ir 0.0000 0.0000 0.2494
Pb1 Pb 0.0000 0.0000 0.5000
Br1 Br 0.0000 0.0000 0.0000
# Magnetic moment in μB/cell: 0.0
# Energy above the lowest structure with this stoichiometry in eV/atom: 0.4023
# Uncorrected formation energy in meV/atom: 853

=====

Record 3
# Ir2PbBr | Alexandria | GGA-PBE | relaxed
data_Ir2PbBr
_cell_length_a 2.833
_cell_length_b 4.043
_cell_length_c 8.647
_cell_angle_alpha 90.00
_cell_angle_beta 90.00
_cell_angle_gamma 90.00
_symmetry_space_group_name_H-M 'P m m 2'
_symmetry_Int_Tables_number 25
_symmetry_space_group_name_Hall 'P 2 -2'
loop_
_atom_site_label
_atom_site_type_symbol
_atom_site_fract_x
_atom_site_fract_y
_atom_site_fract_z
Ir1 Ir 0.000 0.000 0.000
Ir2 Ir 0.500 0.500 0.088
Pb1 Pb 0.000 0.000 0.329
Br1 Br 0.500 0.500 0.629
# Magnetic moment in μB/cell: 0.0
# Energy above the lowest structure with this stoichiometry in eV/atom: 0.0000
# Uncorrected formation energy in meV/atom: 451

=====

Record 4
# IrPb3Br | Alexandria | GGA-PBE | relaxed
data_IrPb3Br
_cell_length_a 5.406
_cell_length_b 5.406
_cell_length_c 5.406
_cell_angle_alpha 90.00
_cell_angle_beta 90.00
_cell_angle_gamma 90.00
_symmetry_space_group_name_H-M 'P m -3 m'
_symmetry_Int_Tables_number 221
_symmetry_space_group_name_Hall '-P 4 2 3'
loop_
_atom_site_label
_atom_site_type_symbol
_atom_site_fract_x
_atom_site_fract_y
_atom_site_fract_z
Ir1 Ir 0.000 0.000 0.000
Pb1 Pb 0.000 0.000 0.500
Br1 Br 0.500 0.500 0.500
# Magnetic moment in μB/cell: 0.0
# Energy above the lowest structure with this stoichiometry in eV/atom: 0.0000
# Uncorrected formation energy in meV/atom: 45

=====

Record 5
# IrPbBr2 | Alexandria | GGA-PBE | relaxed
data_IrPbBr2
_cell_length_a 3.493
_cell_length_b 3.493
_cell_length_c 7.583
_cell_angle_alpha 90.00
_cell_angle_beta 90.00
_cell_angle_gamma 90.00
_symmetry_space_group_name_H-M 'P 4/m m m'
_symmetry_Int_Tables_number 123
_symmetry_space_group_name_Hall '-P 4 2'
loop_
_atom_site_label
_atom_site_type_symbol
_atom_site_fract_x
_atom_site_fract_y
_atom_site_fract_z
Ir1 Ir 0.000 0.000 0.000
Pb1 Pb 0.000 0.000 0.500
Br1 Br 0.500 0.500 0.212
# Magnetic moment in μB/cell: 1.2
# Energy above the lowest structure with this stoichiometry in eV/atom: 0.6687
# Uncorrected formation energy in meV/atom: 710

=====

Record 6
# IrPbBr2 | Alexandria | GGA-PBE | relaxed
data_IrPbBr2
_cell_length_a 3.7104
_cell_length_b 3.7104
_cell_length_c 26.2964
_cell_angle_alpha 90.00
_cell_angle_beta 90.00
_cell_angle_gamma 120.00
_symmetry_space_group_name_H-M 'R -3 m'
_symmetry_Int_Tables_number 166
_symmetry_space_group_name_Hall '-R 3 2"'
loop_
_atom_site_label
_atom_site_type_symbol
_atom_site_fract_x
_atom_site_fract_y
_atom_site_fract_z
Ir1 Ir 0.0000 0.0000 0.0000
Pb1 Pb 0.0000 0.0000 0.5000
Br1 Br 0.0000 0.0000 0.2789
# Magnetic moment in μB/cell: 0.0
# Energy above the lowest structure with this stoichiometry in eV/atom: 0.2857
# Uncorrected formation energy in meV/atom: 327

=====

Question: The highest energy above the lowest structure with this stoichiometry belongs to which entry?
Answer: number 5

=====

Question: What is the uncorrected formation energy in the fifth record?
Answer: 710 meV/atom

=====

Copy entry 6 word for word.
# IrPbBr2 | Alexandria | GGA-PBE | relaxed
data_IrPbBr2
_cell_length_a 3.7104
_cell_length_b 3.7104
_cell_length_c 26.2964
_cell_angle_alpha 90.00
_cell_angle_beta 90.00
_cell_angle_gamma 120.00
_symmetry_space_group_name_H-M 'R -3 m'
_symmetry_Int_Tables_number 166
_symmetry_space_group_name_Hall '-R 3 2"'
loop_
_atom_site_label
_atom_site_type_symbol
_atom_site_fract_x
_atom_site_fract_y
_atom_site_fract_z
Ir1 Ir 0.0000 0.0000 0.0000
Pb1 Pb 0.0000 0.0000 0.5000
Br1 Br 0.0000 0.0000 0.2789
# Magnetic moment in μB/cell: 0.0
# Energy above the lowest structure with this stoichiometry in eV/atom: 0.2857
# Uncorrected formation energy in meV/atom: 327

=====

Question: Which of these has the lowest uncorrected formation energy?
Answer: IrPb3Br